Density functional theory data (PBE) for crystalline In5Au at its relaxed geometry.

As for the space-group type: Cmmm (65). As for the energy of formation from the pure elements: -0.115 eV/f.u. The calculation puts the total magnetic moment at 0.000 μB per cell.

a = 4.687 Å, b = 4.633 Å, c = 7.294 Å
α = 108.52°, β = 90.00°, γ = 90.00°
Positions (direct):
1 In 0.500 0.500 0.000
2 In 0.500 0.160 0.320
3 In 0.000 0.657 0.314
4 In 0.000 0.343 0.686
5 In 0.500 0.840 0.680
6 Au 0.000 0.000 0.000

***

Density functional theory data (PBE) for crystalline MnTlPd4 at its relaxed geometry.

As for the space-group type: C2/m (12). As for the energy of formation from the pure elements: -0.992 eV/f.u. The calculation puts the total magnetic moment at 8.923 μB per cell.

a = 4.849 Å, b = 8.699 Å, c = 4.845 Å
α = 90.00°, β = 74.58°, γ = 90.00°
Positions (direct):
1 Pd 0.500 0.837 0.000
2 Pd 0.500 0.333 0.500
3 Pd 0.000 0.167 0.500
4 Pd 0.000 0.337 0.000
5 Pd 0.500 0.667 0.500
6 Pd 0.500 0.163 0.000
7 Pd 0.000 0.663 0.000
8 Pd 0.000 0.833 0.500
9 Mn 0.500 0.000 0.500
10 Mn 0.000 0.500 0.500
11 Tl 0.000 0.000 0.000
12 Tl 0.500 0.500 0.000

***

Density functional theory data (PBE) for crystalline Sc4N at its relaxed geometry.

As for the space-group type: C2/c (15). Its formation energy (no corrections) is -704 meV/atom. The calculation puts the total magnetic moment at 0.003 μB per cell.

a = 6.429 Å, b = 5.685 Å, c = 7.230 Å
α = 75.93°, β = 63.60°, γ = 56.86°
Positions (direct):
1 Sc 0.941 0.244 0.634
2 Sc 0.425 0.256 0.634
3 Sc 0.829 0.719 0.882
4 Sc 0.171 0.281 0.118
5 Sc 0.289 0.781 0.882
6 Sc 0.059 0.756 0.366
7 Sc 0.575 0.744 0.366
8 Sc 0.711 0.219 0.118
9 N 0.935 0.750 0.129
10 N 0.065 0.250 0.871

***

Density functional theory data (PBE) for crystalline Pm2CdGa4Ir3 at its relaxed geometry.

As for the space-group type: P-4m2 (115). As for the energy of formation from the pure elements: -5.787 eV/f.u. The calculation puts the total magnetic moment at 0.000 μB per cell.

a = 4.216 Å, b = 4.216 Å, c = 10.961 Å
α = 90.00°, β = 90.00°, γ = 90.00°
Positions (direct):
1 Ga 0.000 0.000 0.000
2 Ga 0.500 0.500 0.000
3 Ga 0.500 0.000 0.643
4 Ga 0.000 0.500 0.357
5 Pm 0.000 0.500 0.763
6 Pm 0.500 0.000 0.237
7 Ir 0.500 0.000 0.870
8 Ir 0.000 0.000 0.500
9 Ir 0.000 0.500 0.130
10 Cd 0.500 0.500 0.500

***

Density functional theory data (PBE) for crystalline Er12In6Cu at its relaxed geometry.

As for the space-group type: R-3 (148). As for the energy of formation from the pure elements: -3.582 eV/f.u. The calculation puts the total magnetic moment at 0.000 μB per cell.

a = 8.026 Å, b = 8.026 Å, c = 8.026 Å
α = 89.86°, β = 89.86°, γ = 89.86°
Positions (direct):
1 In 0.719 0.885 0.261
2 In 0.281 0.115 0.739
3 In 0.739 0.281 0.115
4 In 0.885 0.261 0.719
5 In 0.115 0.739 0.281
6 In 0.261 0.719 0.885
7 Er 0.561 0.197 0.465
8 Er 0.136 0.357 0.024
9 Er 0.465 0.561 0.197
10 Er 0.535 0.439 0.803
11 Er 0.197 0.465 0.561
12 Er 0.357 0.024 0.136
13 Er 0.439 0.803 0.535
14 Er 0.643 0.976 0.864
15 Er 0.864 0.643 0.976
16 Er 0.803 0.535 0.439
17 Er 0.024 0.136 0.357
18 Er 0.976 0.864 0.643
19 Cu 0.000 0.000 0.000

***

Density functional theory data (PBE) for crystalline Tb3Ga4Au4 at its relaxed geometry.

As for the space-group type: Immm (71). As for the energy of formation from the pure elements: -7.594 eV/f.u. The calculation puts the total magnetic moment at 0.000 μB per cell.

a = 4.583 Å, b = 3.636 Å, c = 13.966 Å
α = 97.48°, β = 99.44°, γ = 90.00°
Positions (direct):
1 Ga 0.547 0.547 0.094
2 Ga 0.188 0.688 0.377
3 Ga 0.812 0.312 0.623
4 Ga 0.453 0.453 0.906
5 Au 0.735 0.735 0.470
6 Au 0.907 0.407 0.814
7 Au 0.093 0.593 0.186
8 Au 0.265 0.265 0.530
9 Tb 0.000 0.000 0.000
10 Tb 0.643 0.143 0.285
11 Tb 0.357 0.857 0.715

***

Density functional theory data (PBE) for crystalline Ba4InP at its relaxed geometry.

As for the space-group type: F-43m (216). As for the energy of formation from the pure elements: 2.400 eV/f.u. The calculation puts the total magnetic moment at 0.179 μB per cell.

a = 7.070 Å, b = 7.070 Å, c = 7.070 Å
α = 60.00°, β = 60.00°, γ = 60.00°
Positions (direct):
1 Ba 0.374 0.374 0.374
2 Ba 0.374 0.879 0.374
3 Ba 0.879 0.374 0.374
4 Ba 0.374 0.374 0.879
5 In 0.750 0.750 0.750
6 P 0.000 0.000 0.000

***

Density functional theory data (PBE) for crystalline Cr3Ir at its relaxed geometry.

As for the space-group type: I4/mmm (139). As for the energy of formation from the pure elements: 0.202 eV/f.u. The calculation puts the total magnetic moment at 0.004 μB per cell.

a = 3.675 Å, b = 3.675 Å, c = 4.537 Å
α = 113.90°, β = 113.90°, γ = 90.00°
Positions (direct):
1 Cr 0.250 0.750 0.500
2 Cr 0.750 0.250 0.500
3 Cr 0.500 0.500 0.000
4 Ir 0.000 0.000 0.000